Entry from Alexandria: a relaxed structure of V3O5 (PBE+U).

final energy = -7.9459 eV per atom
magnetization = 5.00 μB/f.u.
energy above the most stable polymorph in this dataset = 0.003 eV per atom

Unit cell a=7.089 b=5.209 c=9.986 alpha=90.00 beta=108.92 gamma=90.00
Fractional positions:
V: 0.157 0.249 0.380
V: 0.157 0.751 0.880
V: 0.249 0.247 0.748
V: 0.249 0.753 0.248
V: 0.342 0.250 0.119
V: 0.342 0.750 0.619
V: 0.658 0.250 0.381
V: 0.658 0.750 0.881
V: 0.751 0.247 0.752
V: 0.751 0.753 0.252
V: 0.843 0.249 0.120
V: 0.843 0.751 0.620
O: 0.000 0.058 0.750
O: 0.000 0.942 0.250
O: 0.118 0.403 0.171
O: 0.118 0.597 0.671
O: 0.228 0.090 0.564
O: 0.228 0.910 0.064
O: 0.283 0.394 0.948
O: 0.283 0.606 0.448
O: 0.389 0.098 0.329
O: 0.389 0.902 0.829
O: 0.500 0.455 0.750
O: 0.500 0.545 0.250
O: 0.611 0.098 0.171
O: 0.611 0.902 0.671
O: 0.717 0.394 0.552
O: 0.717 0.606 0.052
O: 0.772 0.090 0.936
O: 0.772 0.910 0.436
O: 0.882 0.403 0.329
O: 0.882 0.597 0.829